NaTeMoO5, relaxed, DFT PBE with a Hubbard U; density of states at the Fermi level = 1.3 states/eV/cell; symmetry = No. 15
1.0
4.024 -4.876 0.000
4.024 4.876 0.000
-2.755 0.000 5.739
Na Te Mo O
2 2 2 10
direct
0.082 0.918 0.750
0.918 0.082 0.250
0.452 0.548 0.750
0.548 0.452 0.250
0.000 0.500 0.000
0.500 0.000 0.500
0.143 0.549 0.771
0.158 0.278 0.045
0.265 0.735 0.250
0.278 0.158 0.545
0.451 0.857 0.729
0.549 0.143 0.271
0.722 0.842 0.455
0.735 0.265 0.750
0.842 0.722 0.955
0.857 0.451 0.229

---

Na2Te3Mo3O16, relaxed, DFT PBE with a Hubbard U; density of states at the Fermi level = 0.0 states/eV/cell; symmetry = No. 5
1.0
5.250 -5.797 0.000
5.250 5.797 0.000
-4.613 0.000 5.793
Na Te Mo O
2 3 3 16
direct
0.000 0.000 0.000
0.594 0.406 0.500
0.121 0.440 0.498
0.498 0.502 0.000
0.560 0.879 0.502
0.022 0.518 0.017
0.092 0.908 0.500
0.482 0.978 0.983
0.054 0.056 0.371
0.134 0.378 0.230
0.216 0.729 0.661
0.220 0.449 0.921
0.271 0.784 0.339
0.343 0.044 0.120
0.357 0.083 0.771
0.386 0.428 0.658
0.551 0.780 0.079
0.572 0.614 0.342
0.622 0.866 0.770
0.699 0.189 0.185
0.811 0.301 0.815
0.917 0.643 0.229
0.944 0.946 0.629
0.956 0.657 0.880

---

NaTeMoO6, relaxed, DFT PBE with a Hubbard U; symmetry = No. 163
1.0
5.334 0.000 0.000
-2.667 4.620 0.000
0.000 0.000 10.506
Na Te Mo O
2 2 2 12
direct
0.000 0.000 0.000
0.000 0.000 0.500
0.333 0.667 0.250
0.667 0.333 0.750
0.333 0.667 0.750
0.667 0.333 0.250
0.006 0.391 0.145
0.006 0.615 0.355
0.385 0.391 0.355
0.385 0.994 0.145
0.391 0.006 0.645
0.391 0.385 0.855
0.609 0.615 0.145
0.609 0.994 0.355
0.615 0.006 0.855
0.615 0.609 0.645
0.994 0.385 0.645
0.994 0.609 0.855

---

no.,energy (eV for the cell shown)
1,-94.4
2,-147.2
3,-108.0